Here is a relaxed structure of CsCoSeBr2 from Alexandria. Energies are from PBE.

Symmetry = No. 123
Total magnetic moment = 3.2 μB/f.u.
E_form (uncorrected) = 4.656 eV/f.u.
Density of states at the Fermi level = 2.63 states/eV per atom
E above lowest polymorph = 1512 meV per atom

Lattice parameters (Å, degrees): 6.5709 6.5709 5.8624 90.00 90.00 90.00
Closest atoms and distances in Å follow each position.
Fractional positions:
Se  0.0000  0.0000  0.5000  2 Cs 2.93
Co  0.5000  0.5000  0.5000  8 Br 4.40, 4 Se 4.65
Br  0.0000  0.5000  0.0000  2 Cs 3.29
Br  0.5000  0.0000  0.0000  2 Cs 3.29
Cs  0.0000  0.0000  0.0000  2 Se 2.93


Here is a relaxed structure of La6HgRh4 from Alexandria. Energies are from PBE.

Uncorrected energy = -6.04 eV per atom
Symmetry = No. 63
Total magnetic moment = 0.0 μB/f.u.
Density of states at the Fermi level = 0.65 states/eV per atom

Lattice parameters (Å, degrees): 4.2023 7.2935 21.3434 90.00 90.00 106.74
Closest atoms and distances in Å follow each position.
Fractional positions:
Rh  0.6002  0.2003  0.6288  5 La 2.72-2.96
Rh  0.3998  0.7997  0.3712  5 La 2.72-2.96
Rh  0.8632  0.7265  0.9569  6 La 2.74-3.04
Rh  0.1368  0.2735  0.4569  6 La 2.74-3.04
Rh  0.8632  0.7265  0.5431  6 La 2.74-3.04
Rh  0.1368  0.2735  0.0431  6 La 2.74-3.04
Rh  0.3998  0.7997  0.1288  5 La 2.72-2.96
Rh  0.6002  0.2003  0.8712  5 La 2.72-2.96
La  0.2334  0.4668  0.9156  5 Rh 2.91-3.04
La  0.5000  0.0000  0.5000  6 Rh 2.99-3.08
La  0.5000  0.0000  0.0000  6 Rh 2.99-3.08
La  0.2334  0.4668  0.5844  5 Rh 2.91-3.04
La  0.3403  0.6806  0.2500  2 Rh 2.72
La  0.7666  0.5332  0.0844  5 Rh 2.91-3.04
La  0.0384  0.0767  0.3459  3 Rh 2.74-2.91
La  0.9616  0.9233  0.6541  3 Rh 2.74-2.91
La  0.7666  0.5332  0.4156  5 Rh 2.91-3.04
La  0.9616  0.9233  0.8459  3 Rh 2.74-2.91
La  0.0384  0.0767  0.1541  3 Rh 2.74-2.91
La  0.6597  0.3194  0.7500  2 Rh 2.72
Hg  0.6579  0.3159  0.2500  6 La 3.30-3.38
Hg  0.3421  0.6841  0.7500  6 La 3.30-3.38


Here is a relaxed structure of Mg2Tl6Cd from Alexandria. Energies are from PBE.

Uncorrected energy = -2.01 eV per atom
Symmetry = No. 12
Total magnetic moment = 0.0 μB/f.u.
Density of states at the Fermi level = 0.32 states/eV per atom

Lattice parameters (Å, degrees): 3.3653 7.9829 10.1115 75.88 80.42 77.83
Closest atoms and distances in Å follow each position.
Fractional positions:
Tl  0.7728  0.3483  0.1061  1 Cd 3.12, 5 Tl 3.28-3.37, 2 Mg 3.29
Tl  0.2272  0.6517  0.8939  1 Cd 3.12, 5 Tl 3.28-3.37, 2 Mg 3.29
Tl  0.6714  0.2131  0.4440  3 Mg 3.10-3.28, 3 Tl 3.31-3.37
Tl  0.9579  0.3762  0.7080  2 Mg 3.30, 8 Tl 3.37-3.65, 1 Cd 3.66
Tl  0.0421  0.6238  0.2920  2 Mg 3.30, 8 Tl 3.37-3.65, 1 Cd 3.66
Tl  0.3286  0.7869  0.5560  3 Mg 3.10-3.28, 3 Tl 3.31-3.37
Mg  0.6241  0.0050  0.7469  2 Cd 3.03, 7 Tl 3.10-3.30, 2 Mg 3.37
Mg  0.3759  0.9950  0.2531  2 Cd 3.03, 7 Tl 3.10-3.30, 2 Mg 3.37
Cd  0.0000  0.0000  0.0000  4 Mg 3.03, 2 Tl 3.12, 2 Cd 3.37


Here is a relaxed structure of PmGd2Rh from Alexandria. Energies are from PBE.

Symmetry = No. 123
Total magnetic moment = 14.3 μB/f.u.
Density of states at the Fermi level = 1.22 states/eV per atom
E above lowest polymorph = 0 meV per atom

Lattice parameters (Å, degrees): 3.5391 3.5391 8.7297 90.00 90.00 90.00
Closest atoms and distances in Å follow each position.
Fractional positions:
Pm  0.5000  0.5000  0.5000  4 Pm 3.54, 8 Gd 3.70
Gd  0.0000  0.0000  0.1881  4 Rh 2.99, 1 Gd 3.28
Gd  0.0000  0.0000  0.8119  4 Rh 2.99, 1 Gd 3.28
Rh  0.5000  0.5000  0.0000  8 Gd 2.99